No. 1
Compound: CdOsNO2
Source: Alexandria via LeMat-Bulk
Functional: PBE-GGA
Structure: relaxed

Summary:
The formation energy from raw total energies comes out at -0.156 eV/atom. The value obtained for the spin magnetization is 0.000 μB per atom. As for the crystal system: tetragonal.

Cell: 3.9870 3.9870 3.8180 Å, 90.00 90.00 90.00°
Positions (direct):
Cd 0.0000 0.0000 0.0000
Os 0.5000 0.5000 0.5000
N 0.5000 0.5000 0.0000
O 0.0000 0.5000 0.5000
O 0.5000 0.0000 0.5000

No. 2
Compound: CdOsN2O
Source: Alexandria via LeMat-Bulk
Functional: PBE-GGA
Structure: relaxed

Summary:
The formation energy from raw total energies comes out at 2.502 eV/atom. The value obtained for the spin magnetization is 0.662 μB per atom. As for the crystal system: tetragonal.

Cell: 4.1500 4.1500 3.9843 Å, 90.00 90.00 90.00°
Positions (direct):
Cd 0.0000 0.0000 0.0000
Os 0.5000 0.5000 0.5000
N 0.0000 0.5000 0.0000
N 0.5000 0.0000 0.0000
O 0.0000 0.0000 0.5000

No. 3
Compound: CdOsNO2
Source: Alexandria via LeMat-Bulk
Functional: PBE-GGA
Structure: relaxed

Summary:
The formation energy from raw total energies comes out at 1.799 eV/atom. The value obtained for the spin magnetization is 0.901 μB per atom. As for the crystal system: tetragonal.

Cell: 4.0345 4.0345 4.2660 Å, 90.00 90.00 90.00°
Positions (direct):
Cd 0.0000 0.0000 0.0000
Os 0.5000 0.5000 0.5000
N 0.0000 0.0000 0.5000
O 0.0000 0.5000 0.0000
O 0.5000 0.0000 0.0000

No. 4
Compound: CdPNO2
Source: Alexandria via LeMat-Bulk
Functional: PBE-GGA
Structure: relaxed

Summary:
The formation energy from raw total energies comes out at -0.339 eV/atom. The value obtained for the spin magnetization is 0.000 μB per atom. As for the crystal system: tetragonal.

Cell: 3.7134 3.7134 3.4598 Å, 90.00 90.00 90.00°
Positions (direct):
Cd 0.0000 0.0000 0.0000
P 0.5000 0.5000 0.5000
N 0.5000 0.5000 0.0000
O 0.0000 0.5000 0.5000
O 0.5000 0.0000 0.5000